Tb2HgPd3 after structural relaxation. Source: Alexandria, functional PBE.

a b c (Å): 5.618 7.391 7.391
angles (deg): 116.19 90.00 90.00
Fractional positions:
Pd: 0.470 0.500 0.500
Pd: 0.970 0.835 0.165
Pd: 0.970 0.165 0.835
Pd: 0.470 0.835 0.165
Pd: 0.970 0.500 0.500
Pd: 0.470 0.165 0.835
Tb: 0.220 0.842 0.513
Tb: 0.220 0.513 0.842
Tb: 0.720 0.158 0.487
Tb: 0.720 0.487 0.158
Hg: 0.719 0.814 0.814
Hg: 0.219 0.186 0.186

Results
ΔE_f	-0.613	eV/atom
energy	-4.803	eV per atom

---

K2TbBrO2 after structural relaxation. Source: Alexandria, functional PBE.

a b c (Å): 4.504 4.504 6.613
angles (deg): 90.00 90.00 90.00
Fractional positions:
Tb: 0.000 0.000 0.000
O: 0.500 0.000 0.000
O: 0.000 0.500 0.000
K: 0.500 0.500 0.244
K: 0.500 0.500 0.756
Br: 0.000 0.000 0.500

Results
energy	-5.239	eV per atom
raw formation energy	-1256	kJ/mol of formula units

---

TlPIr2 after structural relaxation. Source: Alexandria, functional PBE.

a b c (Å): 4.564 4.564 4.564
angles (deg): 60.00 60.00 60.00
Fractional positions:
Ir: 0.000 0.000 0.000
Ir: 0.250 0.250 0.250
Tl: 0.750 0.750 0.750
P: 0.500 0.500 0.500

Results
polymorph energy (0 for the lowest one)	0.723	eV per atom
ΔE_f	0.777	eV/atom
energy	-5.597	eV per atom

---

Mg2IrW after structural relaxation. Source: Alexandria, functional PBE.

a b c (Å): 2.779 2.779 9.130
angles (deg): 90.00 90.00 112.12
Fractional positions:
Ir: 0.500 0.500 0.750
Mg: 0.000 0.000 0.985
Mg: 0.000 0.000 0.515
W: 0.500 0.500 0.250

Results
ΔE_f	0.146	eV/atom
energy	-6.105	eV per atom

---

NaTlSn after structural relaxation. Source: Alexandria, functional PBE.

a b c (Å): 10.971 6.265 6.265
angles (deg): 137.77 138.74 41.26
Fractional positions:
Sn: 0.952 0.607 0.393
Sn: 0.658 0.257 0.743
Tl: 0.776 0.459 0.541
Tl: 0.124 0.775 0.225
Na: 0.285 0.953 0.047
Na: 0.462 0.107 0.893

Results
ΔE_f	-0.111	eV/atom
energy	-2.674	eV per atom

---

HgTe2Pb after structural relaxation. Source: Alexandria, functional PBE.

a b c (Å): 10.684 10.684 10.684
angles (deg): 20.64 20.64 20.64
Fractional positions:
Te: 0.897 0.897 0.897
Te: 0.103 0.103 0.103
Hg: 0.500 0.500 0.500
Pb: 0.000 0.000 0.000

Results
energy	-2.401	eV per atom
raw formation energy	67	kJ/mol of formula units

---

KTaSi after structural relaxation. Source: Alexandria, functional PBE.

a b c (Å): 7.002 7.002 7.002
angles (deg): 150.54 150.54 42.14
Last column: magnetic moment on the atom in μB.
Fractional positions:
K: 0.005 0.005 0.000  0.02
Ta: 0.740 0.740 0.000  0.46
Si: 0.255 0.255 0.000  -0.02

Results
polymorph energy (0 for the lowest one)	0.000	eV per atom
energy	-5.709	eV per atom
raw formation energy	120	kJ/mol of formula units

---

CsAlP2S after structural relaxation. Source: Alexandria, functional PBE.

a b c (Å): 5.869 5.869 5.465
angles (deg): 90.00 90.00 90.00
Last column: magnetic moment on the atom in μB.
Fractional positions:
P: 0.500 0.000 0.000  0.53
P: 0.000 0.500 0.000  0.53
S: 0.000 0.000 0.500  0.15
Al: 0.500 0.500 0.500  0.01
Cs: 0.000 0.000 0.000  -0.01

Results
polymorph energy (0 for the lowest one)	1.645	eV per atom
energy	-2.132	eV per atom
raw formation energy	857	kJ/mol of formula units

---

MnNbNi after structural relaxation. Source: Alexandria, functional PBE.

a b c (Å): 4.843 4.843 4.843
angles (deg): 87.93 122.22 120.19
Fractional positions:
Ni: 0.500 0.000 0.500
Ni: 0.000 0.500 0.500
Nb: 0.750 0.873 0.123
Nb: 0.250 0.127 0.877
Mn: 0.000 0.500 0.000
Mn: 0.500 0.500 0.500

Results
polymorph energy (0 for the lowest one)	0.000	eV per atom
ΔE_f	-0.153	eV/atom
energy	-8.493	eV per atom

---

InBi after structural relaxation. Source: Alexandria, functional PBE.

a b c (Å): 7.357 9.199 7.524
angles (deg): 90.00 90.00 90.00
Fractional positions:
Bi: 0.102 0.250 0.611
Bi: 0.949 0.250 0.184
Bi: 0.602 0.250 0.889
Bi: 0.898 0.750 0.389
Bi: 0.051 0.750 0.816
Bi: 0.551 0.750 0.684
Bi: 0.449 0.250 0.316
Bi: 0.398 0.750 0.111
In: 0.236 0.444 0.960
In: 0.264 0.944 0.460
In: 0.764 0.556 0.040
In: 0.264 0.556 0.460
In: 0.236 0.056 0.960
In: 0.764 0.944 0.040
In: 0.736 0.444 0.540
In: 0.736 0.056 0.540

Results
ΔE_f	0.060	eV/atom
energy	-3.250	eV per atom